1.
First-principles (PBE-GGA) data for crystalline AcPm2Nd2 at its relaxed geometry, as listed in Alexandria.

The structure in extended XYZ format:
```
10
Lattice="-4.540 2.199 -2.699 -4.070 -1.044 5.995 4.432 6.870 4.205" Properties=species:S:1:pos:R:3 pbc="T T T"
Nd -1.874 2.475 5.169
Nd -1.671 5.712 1.401
Nd -2.739 -0.702 4.036
Nd -0.813 8.887 2.544
Pm 0.152 2.989 2.179
Pm -3.711 5.195 4.411
Pm -2.077 5.222 7.749
Pm -3.506 2.441 1.824
Ac -0.013 5.862 4.798
Ac -5.577 1.800 4.784
```

Summary:
Its total energy is -4.586 eV per atom. Its space-group type is No. 36. For the formation energy from the elements, the calculation gives 0.043 eV/atom.

2.
First-principles (PBE-GGA) data for crystalline AcPm6Nd4 at its relaxed geometry, as listed in Alexandria.

The structure in extended XYZ format:
```
11
Lattice="1.399 6.898 -7.179 -0.564 -9.964 1.217 -7.378 -4.521 5.120" Properties=species:S:1:pos:R:3 pbc="T T T"
Pm -3.885 -5.528 0.928
Pm -6.199 -8.105 4.671
Pm -3.758 -10.054 3.273
Pm -0.643 1.616 -3.378
Pm 0.417 -1.533 -2.981
Pm -2.990 1.189 -1.030
Nd -2.420 -2.753 -0.386
Nd -0.428 -6.303 0.816
Nd -6.998 -10.076 1.837
Nd -4.639 -2.939 3.227
Ac 0.000 0.000 0.000
```

Summary:
Its total energy is -4.393 eV per atom. Its space-group type is No. 121. For the formation energy from the elements, the calculation gives 0.306 eV/atom.

3.
First-principles (PBE-GGA) data for crystalline Ac4Pm2Nd at its relaxed geometry, as listed in Alexandria.

The structure in extended XYZ format:
```
7
Lattice="5.827 0.000 -1.821 -1.373 9.692 -4.394 -1.088 -2.438 6.750" Properties=species:S:1:pos:R:3 pbc="T T T"
Ac 2.079 8.796 -3.579
Ac -0.198 3.751 -0.635
Ac 1.286 -1.542 4.114
Ac 3.563 3.504 1.169
Pm 0.778 1.553 2.491
Pm 2.586 5.701 -1.956
Nd 0.000 0.000 0.000
```

Summary:
Its total energy is -4.141 eV per atom. Its space-group type is No. 12. For the formation energy from the elements, the calculation gives 0.246 eV/atom.

4.
First-principles (PBE-GGA) data for crystalline Ac7Pm2Nd3 at its relaxed geometry, as listed in Alexandria.

The structure in extended XYZ format:
```
12
Lattice="-0.089 3.772 -0.386 -0.567 0.696 6.930 18.031 1.082 6.424" Properties=species:S:1:pos:R:3 pbc="T T T"
Nd -0.328 2.234 3.272
Nd 11.376 1.326 10.336
Nd 6.088 0.452 3.018
Ac 14.727 1.210 8.434
Ac 0.000 0.000 0.000
Ac 8.943 2.601 4.723
Ac 3.091 2.112 1.292
Ac 2.737 0.568 4.919
Ac 14.285 3.438 11.676
Ac 8.433 2.949 8.245
Pm 5.585 2.668 6.150
Pm 11.790 2.882 6.817
```

Summary:
Its total energy is -4.284 eV per atom. Its space-group type is No. 10. For the formation energy from the elements, the calculation gives 0.096 eV/atom.

5.
First-principles (PBE-GGA) data for crystalline Ac3Pm2Nd6 at its relaxed geometry, as listed in Alexandria.

The structure in extended XYZ format:
```
11
Lattice="-2.976 -1.916 -1.313 0.311 -3.686 -0.752 -10.120 -9.056 30.717" Properties=species:S:1:pos:R:3 pbc="T T T"
Nd -5.244 -7.611 6.707
Nd -5.094 -5.142 13.617
Nd -10.151 -10.256 27.111
Nd -7.691 -9.517 15.034
Nd -7.541 -7.048 21.944
Nd -2.634 -4.403 1.540
Ac -10.179 -11.454 23.497
Ac 0.000 0.000 0.000
Ac -2.606 -3.205 5.154
Pm -7.616 -8.283 18.489
Pm -5.169 -6.377 10.162
```

Summary:
Its total energy is -4.554 eV per atom. Its space-group type is No. 166. For the formation energy from the elements, the calculation gives 0.031 eV/atom.

6.
First-principles (PBE-GGA) data for crystalline AcPm3Nd at its relaxed geometry, as listed in Alexandria.

The structure in extended XYZ format:
```
10
Lattice="-2.249 -1.240 2.749 5.623 -9.721 2.765 6.037 2.481 6.028" Properties=species:S:1:pos:R:3 pbc="T T T"
Nd 8.181 -7.891 9.704
Nd 4.317 -8.692 6.190
Pm 6.743 -6.024 6.817
Pm 2.381 0.402 3.562
Pm 3.775 -1.551 6.390
Pm 5.349 -4.071 3.990
Pm 0.156 -1.305 1.006
Pm 2.930 -6.797 3.346
Ac 7.465 -2.361 6.457
Ac 1.660 -3.259 3.921
```

Summary:
Its total energy is -4.581 eV per atom. Its space-group type is No. 2. For the formation energy from the elements, the calculation gives 0.044 eV/atom.

7.
First-principles (PBE-GGA) data for crystalline AcPm4Nd3 at its relaxed geometry, as listed in Alexandria.

The structure in extended XYZ format:
```
16
Lattice="-1.163 -4.508 -4.477 4.925 -4.556 3.309 -8.767 -4.518 6.827" Properties=species:S:1:pos:R:3 pbc="T T T"
Pm -3.089 -6.132 2.513
Pm -0.522 -3.540 2.301
Pm 0.133 -6.883 0.839
Pm -4.867 -5.779 5.685
Pm -2.473 -9.491 1.081
Pm 1.934 -7.257 -2.318
Pm 1.319 -3.894 -0.882
Pm -4.289 -9.161 4.282
Nd -4.882 -7.276 -0.548
Nd 1.919 -5.759 3.951
Nd 3.723 -6.132 0.723
Nd -2.440 -8.006 7.346
Nd -6.704 -6.887 2.668
Nd -2.297 -4.616 -0.764
Ac -0.527 -5.020 -3.998
Ac -0.644 -8.433 4.129
```

Summary:
Its total energy is -4.635 eV per atom. Its space-group type is No. 31. For the formation energy from the elements, the calculation gives 0.042 eV/atom.

8.
First-principles (PBE-GGA) data for crystalline Ac6Pm2Nd at its relaxed geometry, as listed in Alexandria.

The structure in extended XYZ format:
```
9
Lattice="6.584 0.064 -0.591 -2.761 5.977 -0.591 0.055 0.087 9.650" Properties=species:S:1:pos:R:3 pbc="T T T"
Ac 0.968 2.970 1.177
Ac -0.534 4.326 5.719
Ac -0.303 0.960 7.881
Ac 4.411 1.802 2.748
Ac 2.909 3.158 7.290
Ac 4.180 5.167 0.586
Pm 1.343 1.326 4.529
Pm 2.535 4.802 3.938
Nd 3.292 0.032 -0.296
```

Summary:
Its total energy is -4.147 eV per atom. Its space-group type is No. 12. For the formation energy from the elements, the calculation gives 0.177 eV/atom.

9.
First-principles (PBE-GGA) data for crystalline Ac2Pm3Nd3 at its relaxed geometry, as listed in Alexandria.

The structure in extended XYZ format:
```
8
Lattice="-2.280 -3.018 3.750 0.172 -4.198 -3.274 10.524 1.099 3.502" Properties=species:S:1:pos:R:3 pbc="T T T"
Nd 1.214 -4.209 1.134
Nd -1.140 -1.509 1.875
Nd 7.202 -1.908 2.844
Ac 3.596 -2.763 3.746
Ac 4.819 -3.353 0.233
Pm 2.270 -0.601 0.897
Pm 6.145 -5.515 3.081
Pm 0.086 -2.099 -1.637
```

Summary:
Its total energy is -4.568 eV per atom. Its space-group type is No. 12. For the formation energy from the elements, the calculation gives 0.028 eV/atom.

10.
First-principles (PBE-GGA) data for crystalline Ac2Pm2Nd5 at its relaxed geometry, as listed in Alexandria.

The structure in extended XYZ format:
```
18
Lattice="-1.515 -11.469 4.741 5.999 0.649 3.487 -6.060 8.400 1.898" Properties=species:S:1:pos:R:3 pbc="T T T"
Pm 0.501 2.540 6.475
Pm -1.348 -4.881 4.074
Pm 2.393 1.059 3.496
Pm -3.240 -3.400 7.053
Ac 0.179 0.019 0.104
Ac 0.863 -3.819 7.408
Ac 2.421 -5.391 4.218
Ac -1.390 1.512 3.327
Nd -3.538 -6.952 6.172
Nd 2.670 -7.856 6.690
Nd 0.920 4.419 3.349
Nd -0.815 -0.627 6.908
Nd 0.841 -1.924 4.300
Nd -2.118 -1.940 2.430
Nd -0.319 -8.102 4.914
Nd -1.785 5.701 4.866
Nd -3.774 -0.644 5.037
Nd -4.795 5.298 3.156
```

Summary:
Its total energy is -4.444 eV per atom. Its space-group type is No. 46. For the formation energy from the elements, the calculation gives 0.174 eV/atom.

11.
First-principles (PBE-GGA) data for crystalline AcPm4Nd7 at its relaxed geometry, as listed in Alexandria.

The structure in extended XYZ format:
```
12
Lattice="-2.525 5.673 0.375 -9.172 -0.660 -0.176 -3.623 1.257 8.203" Properties=species:S:1:pos:R:3 pbc="T T T"
Nd -12.017 4.583 4.553
Nd -1.263 2.837 0.187
Nd -8.965 5.836 6.155
Nd -6.355 0.434 2.247
Nd -5.370 4.284 2.238
Nd -9.951 1.985 6.164
Nd -3.303 1.686 3.849
Pm -9.042 2.592 3.116
Pm -11.177 4.711 8.283
Pm -6.279 3.678 5.286
Pm -4.144 1.559 0.118
Ac 0.000 0.000 0.000
```

Summary:
Its total energy is -4.471 eV per atom. Its space-group type is No. 12. For the formation energy from the elements, the calculation gives 0.236 eV/atom.

12.
First-principles (PBE-GGA) data for crystalline AcPm4Nd2 at its relaxed geometry, as listed in Alexandria.

The structure in extended XYZ format:
```
14
Lattice="5.907 0.000 0.000 0.000 9.476 0.000 0.000 0.000 9.476" Properties=species:S:1:pos:R:3 pbc="T T T"
Ac 0.000 4.738 4.738
Ac 2.953 0.000 0.000
Pm 0.000 3.664 1.195
Pm 2.953 1.074 5.933
Pm 0.000 1.195 3.664
Pm 2.953 8.402 3.543
Pm 2.953 5.933 1.074
Pm 0.000 8.281 5.812
Pm 0.000 5.812 8.281
Pm 2.953 3.543 8.402
Nd 0.000 7.612 1.864
Nd 2.953 6.602 6.602
Nd 2.953 2.874 2.874
Nd 0.000 1.864 7.612
```

Summary:
Its total energy is -4.463 eV per atom. Its space-group type is No. 136. For the formation energy from the elements, the calculation gives 0.201 eV/atom.

Please write out number 3 again, unchanged.
First-principles (PBE-GGA) data for crystalline Ac4Pm2Nd at its relaxed geometry, as listed in Alexandria.

The structure in extended XYZ format:
```
7
Lattice="5.827 0.000 -1.821 -1.373 9.692 -4.394 -1.088 -2.438 6.750" Properties=species:S:1:pos:R:3 pbc="T T T"
Ac 2.079 8.796 -3.579
Ac -0.198 3.751 -0.635
Ac 1.286 -1.542 4.114
Ac 3.563 3.504 1.169
Pm 0.778 1.553 2.491
Pm 2.586 5.701 -1.956
Nd 0.000 0.000 0.000
```

Summary:
Its total energy is -4.141 eV per atom. Its space-group type is No. 12. For the formation energy from the elements, the calculation gives 0.246 eV/atom.